(1)
ZnRu2 | GGA-PBE | relaxed

The space group is I4/mcm (No. 140) and the conventional cell measures 6.0817, 6.0817 and 4.5837 Å, with angles of 90.00, 90.00 and 90.00 degrees. Symmetry generates all atoms from Zn at (0.0000, 0.0000, 0.2500) and Ru at (0.1418, 0.3582, 0.0000).

As for the density: 10.5 Mg/m³. As for the crystal system: tetragonal. The calculated total energy comes out at -75.7 eV per cell.


(2)
NpMn2 | GGA-PBE | relaxed

The space group is I4/mmm (No. 139) and the conventional cell measures 2.7150, 2.7150 and 11.2325 Å, with angles of 90.00, 90.00 and 90.00 degrees. Symmetry generates all atoms from Np at (0.0000, 0.0000, 0.0000) and Mn at (0.0000, 0.0000, 0.3087).

As for the density: 13.9 Mg/m³. As for the crystal system: tetragonal. The calculated total energy comes out at -61.3 eV per cell.


(3)
Pu2Zn4Ga3Au | GGA-PBE | relaxed

The space group is P-4m2 (No. 115) and the conventional cell measures 4.2186, 4.2186 and 10.7886 Å, with angles of 90.00, 90.00 and 90.00 degrees. Symmetry generates all atoms from Pu at (0.0000, 0.5000, 0.2479), Zn at (0.0000, 0.0000, 0.0000), Zn at (0.0000, 0.5000, 0.6408), Zn at (0.5000, 0.5000, 0.0000), Ga at (0.0000, 0.5000, 0.8656), Ga at (0.5000, 0.5000, 0.5000) and Au at (0.0000, 0.0000, 0.5000).

As for the density: 10.0 Mg/m³. As for the crystal system: tetragonal. The calculated total energy comes out at -48.6 eV per cell.


(4)
Y2AlNi3 | GGA-PBE | relaxed

The space group is P6_3/mmc (No. 194) and the conventional cell measures 5.3062, 5.3062 and 8.1471 Å, with angles of 90.00, 90.00 and 120.00 degrees. Symmetry generates all atoms from Y at (0.3333, 0.6667, 0.0577), Al at (0.0000, 0.0000, 0.0000) and Ni at (0.1674, 0.3348, 0.7500).

As for the density: 6.4 Mg/m³. As for the crystal system: hexagonal. The calculated total energy comes out at -73.9 eV per cell. For the distance to the lowest polymorph of the same formula, the calculation gives 0.00 kcal/mol of atoms.


(5)
SmY10Ho4 | GGA-PBE | relaxed

The space group is I4/m (No. 87) and the conventional cell measures 12.1679, 12.1679 and 7.6964 Å, with angles of 90.00, 90.00 and 90.00 degrees. Symmetry generates all atoms from Sm at (0.0000, 0.0000, 0.0000), Y at (0.0000, 0.5000, 0.2500), Y at (0.1008, 0.7999, 0.2517) and Ho at (0.0996, 0.3013, 0.5000).

As for the density: 5.0 Mg/m³. As for the crystal system: tetragonal. The calculated total energy comes out at -153.3 eV per cell.


(6)
SrAlCdAu3 | GGA-PBE | relaxed

The space group is Cmcm (No. 63) and the conventional cell measures 6.5121, 13.3090 and 6.7050 Å, with angles of 90.00, 90.00 and 90.00 degrees. Symmetry generates all atoms from Sr at (0.0000, 0.2026, 0.2500), Al at (0.0000, 0.4602, 0.2500), Cd at (0.0000, 0.1401, 0.7500), Au at (0.0000, 0.3434, 0.7500) and Au at (0.2176, 0.0000, 0.0000).

As for the density: 9.3 Mg/m³. As for the crystal system: orthorhombic. The calculated total energy comes out at -73.6 eV per cell.


> What is the calculated total energy in the sixth record?

-73.6 eV per cell


> What is the formula in the sixth record?

SrAlCdAu3


> What is the calculated total energy in the third record?

-48.6 eV per cell